Entry 1:
Material: Ag2HgBi2
Method: DFT, PBE-GGA
State: optimized geometry

Lattice parameters (Å, degrees): 9.1262 9.1262 3.1887 90.00 90.00 90.00
Positions (direct):
Ag 0.8471 0.3471 0.5000
Ag 0.6529 0.8471 0.5000
Ag 0.1529 0.6529 0.5000
Ag 0.3471 0.1529 0.5000
Hg 0.0000 0.0000 0.0000
Hg 0.5000 0.5000 0.0000
Bi 0.1447 0.3553 0.0000
Bi 0.3553 0.8553 0.0000
Bi 0.8553 0.6447 0.0000
Bi 0.6447 0.1447 0.0000

Output
- formation enthalpy at 0 K (eV/atom) = 0.142
- DFT total energy (eV per atom) = -2.611
- calculated volume (Å³/cell) = 266
- symmetry = No. 127
- excess energy over the best structure of this formula in the dataset (eV per atom) = 0.016

Entry 2:
Material: AgHgBi
Method: DFT, PBE-GGA
State: optimized geometry

Lattice parameters (Å, degrees): 3.4431 3.4431 7.4147 90.00 90.00 120.00
Positions (direct):
Ag 0.6667 0.3333 0.3254
Bi 0.3333 0.6667 0.6454
Hg 0.0000 0.0000 0.0292

Output
- formation enthalpy at 0 K (eV/atom) = 0.119
- DFT total energy (eV per atom) = -2.226
- calculated volume (Å³/cell) = 76
- symmetry = No. 156

Entry 3:
Material: Ag2Hg2Bi
Method: DFT, PBE-GGA
State: optimized geometry

Lattice parameters (Å, degrees): 8.1804 8.1804 3.4560 90.00 90.00 90.00
Positions (direct):
Ag 0.6278 0.1278 0.0000
Ag 0.3722 0.8722 0.0000
Ag 0.1278 0.3722 0.0000
Ag 0.8722 0.6278 0.0000
Bi 0.0000 0.0000 0.0000
Bi 0.5000 0.5000 0.0000
Hg 0.8316 0.3316 0.5000
Hg 0.6684 0.8316 0.5000
Hg 0.1684 0.6684 0.5000
Hg 0.3316 0.1684 0.5000

Output
- formation enthalpy at 0 K (eV/atom) = 0.112
- DFT total energy (eV per atom) = -1.925
- calculated volume (Å³/cell) = 231
- symmetry = No. 127
- excess energy over the best structure of this formula in the dataset (eV per atom) = 0.000

Entry 4:
Material: AgHg2Bi2
Method: DFT, PBE-GGA
State: optimized geometry

Lattice parameters (Å, degrees): 7.5033 7.5033 4.7942 90.00 90.00 90.00
Positions (direct):
Bi 0.8441 0.3441 0.5000
Bi 0.3441 0.1559 0.5000
Bi 0.1559 0.6559 0.5000
Bi 0.6559 0.8441 0.5000
Ag 0.0000 0.0000 0.0000
Ag 0.5000 0.5000 0.0000
Hg 0.3518 0.8518 0.0000
Hg 0.8518 0.6482 0.0000
Hg 0.6482 0.1482 0.0000
Hg 0.1482 0.3518 0.0000

Output
- formation enthalpy at 0 K (eV/atom) = 0.188
- DFT total energy (eV per atom) = -2.055
- calculated volume (Å³/cell) = 270
- symmetry = No. 127
- excess energy over the best structure of this formula in the dataset (eV per atom) = 0.034

Entry 5:
Material: Ag8Hg2Bi
Method: DFT, PBE-GGA
State: optimized geometry

Lattice parameters (Å, degrees): 5.7759 7.6984 7.6984 43.57 75.58 75.58
Positions (direct):
Ag 0.7761 0.5715 0.5715
Ag 0.2239 0.4285 0.4285
Ag 0.6701 0.6492 0.1591
Ag 0.9461 0.7393 0.7393
Ag 0.3299 0.8409 0.3508
Ag 0.0539 0.2607 0.2607
Ag 0.3299 0.3508 0.8409
Ag 0.6701 0.1591 0.6492
Bi 0.0000 0.0000 0.0000
Hg 0.3983 0.7856 0.7856
Hg 0.6017 0.2144 0.2144

Output
- formation enthalpy at 0 K (eV/atom) = 0.111
- DFT total energy (eV per atom) = -2.370
- calculated volume (Å³/cell) = 227
- symmetry = No. 12

Entry 6:
Material: Ag3HgBi
Method: DFT, PBE-GGA
State: optimized geometry

Lattice parameters (Å, degrees): 5.4748 5.4748 5.4748 90.00 90.00 90.00
Positions (direct):
Ag 0.0000 0.0000 0.5000
Ag 0.5000 0.0000 0.0000
Ag 0.0000 0.5000 0.0000
Hg 0.5000 0.5000 0.5000
Bi 0.0000 0.0000 0.0000

Output
- formation enthalpy at 0 K (eV/atom) = 0.400
- DFT total energy (eV per atom) = -2.147
- calculated volume (Å³/cell) = 164
- symmetry = No. 221
- excess energy over the best structure of this formula in the dataset (eV per atom) = 0.306

Which of these has the highest DFT total energy? Ag2Hg2Bi

Copy entry 3 word for word.
Material: Ag2Hg2Bi
Method: DFT, PBE-GGA
State: optimized geometry

Lattice parameters (Å, degrees): 8.1804 8.1804 3.4560 90.00 90.00 90.00
Positions (direct):
Ag 0.6278 0.1278 0.0000
Ag 0.3722 0.8722 0.0000
Ag 0.1278 0.3722 0.0000
Ag 0.8722 0.6278 0.0000
Bi 0.0000 0.0000 0.0000
Bi 0.5000 0.5000 0.0000
Hg 0.8316 0.3316 0.5000
Hg 0.6684 0.8316 0.5000
Hg 0.1684 0.6684 0.5000
Hg 0.3316 0.1684 0.5000

Output
- formation enthalpy at 0 K (eV/atom) = 0.112
- DFT total energy (eV per atom) = -1.925
- calculated volume (Å³/cell) = 231
- symmetry = No. 127
- excess energy over the best structure of this formula in the dataset (eV per atom) = 0.000

The highest formation enthalpy at 0 K belongs to which entry? Ag3HgBi

The lowest formation enthalpy at 0 K belongs to which entry? Ag8Hg2Bi